Entry 1:
First-principles (PBE-GGA) data for an optimized crystal structure of Sm4Te2SN2, as listed in the Alexandria database.

Output
Uncorrected formation energy in kcal/mol of atoms: -37.6
Total magnetic moment in μB/f.u.: 0.00
DFT total energy in eV per atom: -6.736

abc: 15.5168 4.0697 7.4343
angles: 90.00 107.86 90.00
Space group C2/m (No. 12)
One atom of each set of equivalent atoms:
Sm  0.0410  0.0000  0.2706
Sm  0.2097  0.5000  0.6515
Te  0.1312  0.5000  0.0357
S  0.0000  0.5000  0.5000
N  0.1738  0.0000  0.4850

***

Entry 2:
First-principles (PBE-GGA) data for an optimized crystal structure of CoCuS2Cl, as listed in the Alexandria database.

Output
Uncorrected formation energy in kcal/mol of atoms: 9.8
Total magnetic moment in μB/f.u.: 2.38
DFT total energy in eV per atom: -3.836
Offset from the most stable computed form in eV/atom: 0.000

abc: 4.3449 4.3449 4.9559
angles: 90.00 90.00 90.00
Space group P4/mmm (No. 123)
One atom of each set of equivalent atoms:
Co  0.0000  0.0000  0.0000
Cu  0.5000  0.5000  0.5000
S  0.0000  0.5000  0.0000
Cl  0.0000  0.0000  0.5000

***

Entry 3:
First-principles (PBE-GGA) data for an optimized crystal structure of PbAu2ClO, as listed in the Alexandria database.

Output
Uncorrected formation energy in kcal/mol of atoms: 18.4
Total magnetic moment in μB/f.u.: 0.00
DFT total energy in eV per atom: -2.616

abc: 4.7150 4.7150 6.1563
angles: 90.00 90.00 90.00
Space group P4/mmm (No. 123)
One atom of each set of equivalent atoms:
Pb  0.0000  0.0000  0.0000
Au  0.0000  0.5000  0.5000
Cl  0.0000  0.0000  0.5000
O  0.5000  0.5000  0.0000